# RhBrN2 GGA-PBE optimized geometry
data_RhBrN2
_chemical_formula_sum 'Rh3 Br3 N6'
_space_group_name_H-M_alt 'R -3 m'
_space_group_IT_number 166
_space_group_name_Hall '-R 3 2"'
_cell_length_a 3.2028
_cell_length_b 3.2028
_cell_length_c 18.2227
_cell_angle_alpha 90.00
_cell_angle_beta 90.00
_cell_angle_gamma 120.00
loop_
_atom_site_label
_atom_site_fract_x
_atom_site_fract_y
_atom_site_fract_z
Rh1 0.0000 0.0000 0.0000
Br1 0.0000 0.0000 0.5000
N1 0.0000 0.0000 0.3856
# energy above the lowest structure with this stoichiometry	0.000	eV/atom
# total magnetization	0.00	μB/atom
# E_tot	-65.61	eV/cell
# DOS at the Fermi energy	0.860	states/eV per atom
# uncorrected formation energy	951	meV per atom